{
  "formula": "CsKIn2Pt",
  "functional": "PBE",
  "state": "optimized geometry",
  "vol_a3_per_atom": 37.1,
  "formation_enthalpy_0k_mev_per_atom": -124,
  "sg": "No. 123",
  "e_above_lowest_polymorph_kj_per_mol_atoms": 7.76,
  "cell": [[5.321, 0.000, 0.000], [0.000, 5.321, 0.000], [0.000, 0.000, 6.551]],
  "species": ["Cs", "K", "In", "In", "Pt"],
  "fractional_positions": [[0.000, 0.000, 0.000], [0.500, 0.500, 0.000], [0.000, 0.500, 0.500], [0.500, 0.000, 0.500], [0.000, 0.000, 0.500]]
}

---

{
  "formula": "Li2TeAu",
  "functional": "PBE",
  "state": "optimized geometry",
  "vol_a3_per_atom": 21.0,
  "sg": "No. 166",
  "e_above_lowest_polymorph_kj_per_mol_atoms": 15.94,
  "cell": [[1.790, 1.034, 7.550], [-1.790, 1.034, 7.550], [0.000, -2.067, 7.550]],
  "species": ["Li", "Li", "Te", "Au"],
  "fractional_positions": [[0.242, 0.242, 0.242], [0.758, 0.758, 0.758], [0.000, 0.000, 0.000], [0.500, 0.500, 0.500]]
}

---

{
  "formula": "ReBS2",
  "functional": "PBE",
  "state": "optimized geometry",
  "vol_a3_per_atom": 13.2,
  "sg": "No. 166",
  "e_tot_ev_per_atom": -6.404,
  "cell": [[1.477, 0.853, 6.983], [-1.477, 0.853, 6.983], [0.000, -1.705, 6.983]],
  "species": ["Re", "B", "S", "S"],
  "fractional_positions": [[0.000, 0.000, 0.000], [0.500, 0.500, 0.500], [0.109, 0.109, 0.109], [0.891, 0.891, 0.891]]
}

---

{
  "formula": "La3PuGe3",
  "functional": "PBE",
  "state": "optimized geometry",
  "vol_a3_per_atom": 29.4,
  "formation_enthalpy_0k_mev_per_atom": -485,
  "sg": "No. 12",
  "cell": [[4.061, -6.434, 0.000], [4.061, 6.434, 0.000], [-0.560, 0.000, 7.884]],
  "species": ["La", "La", "La", "La", "La", "La", "Pu", "Pu", "Ge", "Ge", "Ge", "Ge", "Ge", "Ge"],
  "fractional_positions": [[0.171, 0.829, 0.000], [0.223, 0.777, 0.500], [0.367, 0.367, 0.137], [0.633, 0.633, 0.863], [0.777, 0.223, 0.500], [0.829, 0.171, 0.000], [0.276, 0.276, 0.563], [0.724, 0.724, 0.437], [0.031, 0.031, 0.277], [0.159, 0.486, 0.794], [0.486, 0.159, 0.794], [0.514, 0.841, 0.206], [0.841, 0.514, 0.206], [0.969, 0.969, 0.723]]
}

---

{
  "formula": "CaFeRu2",
  "functional": "PBE",
  "state": "optimized geometry",
  "vol_a3_per_atom": 15.8,
  "formation_enthalpy_0k_mev_per_atom": 580,
  "sg": "No. 65",
  "cell": [[2.914, -4.107, 0.000], [2.914, 4.107, 0.000], [0.000, 0.000, 2.642]],
  "species": ["Ca", "Fe", "Ru", "Ru"],
  "fractional_positions": [[0.000, 0.000, 0.000], [0.500, 0.500, 0.000], [0.000, 0.500, 0.500], [0.500, 0.000, 0.500]]
}

---

{
  "formula": "RbCaZr2H",
  "functional": "PBE",
  "state": "optimized geometry",
  "vol_a3_per_atom": 30.2,
  "sg": "No. 123",
  "e_tot_ev_per_atom": -3.221,
  "cell": [[6.323, 0.000, 0.000], [0.000, 6.323, 0.000], [0.000, 0.000, 3.782]],
  "species": ["Rb", "Ca", "Zr", "Zr", "H"],
  "fractional_positions": [[0.000, 0.000, 0.000], [0.500, 0.500, 0.500], [0.000, 0.500, 0.500], [0.500, 0.000, 0.500], [0.500, 0.500, 0.000]]
}

---

Copy entry 2 word for word.
{
  "formula": "Li2TeAu",
  "functional": "PBE",
  "state": "optimized geometry",
  "vol_a3_per_atom": 21.0,
  "sg": "No. 166",
  "e_above_lowest_polymorph_kj_per_mol_atoms": 15.94,
  "cell": [[1.790, 1.034, 7.550], [-1.790, 1.034, 7.550], [0.000, -2.067, 7.550]],
  "species": ["Li", "Li", "Te", "Au"],
  "fractional_positions": [[0.242, 0.242, 0.242], [0.758, 0.758, 0.758], [0.000, 0.000, 0.000], [0.500, 0.500, 0.500]]
}